Below is an optimized crystal structure of TbYIn, with properties calculated at the GGA-PBE level.

Properties
N(E_F) = 3.4 states/eV/f.u.
energy relative to the elements = -92.8 meV/atom
relative energy among the computed polymorphs = 197.9 meV per atom

CIF file:
```
data_TbYIn
_chemical_formula_sum 'Tb2 Y2 In2'
_space_group_name_H-M_alt 'P 1'
_space_group_IT_number 1
_cell_length_a 4.842
_cell_length_b 4.842
_cell_length_c 7.806
_cell_angle_alpha 90.00
_cell_angle_beta 90.00
_cell_angle_gamma 90.00
loop_
_space_group_symop_operation_xyz
'x,y,z'
loop_
_atom_site_label
_atom_site_type_symbol
_atom_site_fract_x
_atom_site_fract_y
_atom_site_fract_z
Y1 Y 0.000 0.500 0.721
Y2 Y 0.500 0.000 0.279
In1 In 0.500 0.500 0.000
In2 In 0.000 0.000 0.000
Tb1 Tb 0.500 0.000 0.727
Tb2 Tb 0.000 0.500 0.273
```

=====

Below is an optimized crystal structure of Y4TeC, with properties calculated at the GGA-PBE level.

Properties
N(E_F) = 7.2 states/eV/f.u.
formation energy without anion corrections = -0.5342 eV per atom
relative energy among the computed polymorphs = 0.0 meV per atom

CIF file:
```
data_Y4TeC
_chemical_formula_sum 'Y8 Te2 C2'
_space_group_name_H-M_alt 'P 1'
_space_group_IT_number 1
_cell_length_a 6.381
_cell_length_b 7.285
_cell_length_c 8.262
_cell_angle_alpha 109.99
_cell_angle_beta 105.84
_cell_angle_gamma 104.87
loop_
_space_group_symop_operation_xyz
'x,y,z'
loop_
_atom_site_label
_atom_site_type_symbol
_atom_site_fract_x
_atom_site_fract_y
_atom_site_fract_z
Y1 Y 0.278 0.947 0.598
Y2 Y 0.042 0.843 0.104
Y3 Y 0.180 0.349 0.402
Y4 Y 0.438 0.739 0.896
Y5 Y 0.722 0.053 0.402
Y6 Y 0.820 0.651 0.598
Y7 Y 0.958 0.157 0.896
Y8 Y 0.562 0.261 0.104
Te1 Te 0.354 0.604 0.207
Te2 Te 0.646 0.396 0.793
C1 C 0.815 0.065 0.130
C2 C 0.185 0.935 0.870
```

=====

Below is an optimized crystal structure of Ca2NdGaO, with properties calculated at the GGA-PBE level.

Properties
N(E_F) = 1.3 states/eV/f.u.
formation energy without anion corrections = -1.3870 eV per atom

CIF file:
```
data_Ca2NdGaO
_chemical_formula_sum 'Ca2 Nd1 Ga1 O1'
_space_group_name_H-M_alt 'P 1'
_space_group_IT_number 1
_cell_length_a 5.006
_cell_length_b 4.751
_cell_length_c 4.751
_cell_angle_alpha 90.00
_cell_angle_beta 90.00
_cell_angle_gamma 90.00
loop_
_space_group_symop_operation_xyz
'x,y,z'
loop_
_atom_site_label
_atom_site_type_symbol
_atom_site_fract_x
_atom_site_fract_y
_atom_site_fract_z
Ca1 Ca 0.000 0.000 0.500
Ca2 Ca 0.000 0.500 0.000
Nd1 Nd 0.500 0.000 0.000
Ga1 Ga 0.500 0.500 0.500
O1 O 0.000 0.000 0.000
```